# 1
# Ca3LaRu, optimized geometry, DFT PBE-GGA
# ΔE to the lowest computed polymorph (meV/atom): 1512.5
# Density of states at the Fermi level (states/eV/atom): 2.7502
# Calculated density (g/cm³): 3.549
# M_tot (μB per cell): 0.0
data_Ca3LaRu
_symmetry_space_group_name_H-M 'P m -3 m'
_symmetry_Int_Tables_number 221
_symmetry_space_group_name_Hall '-P 4 2 3'
_cell_length_a 5.5237
_cell_length_b 5.5237
_cell_length_c 5.5237
_cell_angle_alpha 90.00
_cell_angle_beta 90.00
_cell_angle_gamma 90.00
loop_
_atom_site_label
_atom_site_fract_x
_atom_site_fract_y
_atom_site_fract_z
Ca1 0.0000 0.0000 0.5000
La1 0.0000 0.0000 0.0000
Ru1 0.5000 0.5000 0.5000


# 2
# Cd2PtPb, optimized geometry, DFT PBE-GGA
# Density of states at the Fermi level (states/eV/atom): 0.3809
# Calculated density (g/cm³): 12.113
# M_tot (μB per cell): 0.0
# E_tot (eV/atom): -2.8407
data_Cd2PtPb
_symmetry_space_group_name_H-M 'C m m m'
_symmetry_Int_Tables_number 65
_symmetry_space_group_name_Hall '-C 2 2'
_cell_length_a 6.1318
_cell_length_b 8.8489
_cell_length_c 3.1689
_cell_angle_alpha 90.00
_cell_angle_beta 90.00
_cell_angle_gamma 90.00
loop_
_atom_site_label
_atom_site_fract_x
_atom_site_fract_y
_atom_site_fract_z
Cd1 0.2500 0.2500 0.0000
Pt1 0.0000 0.0000 0.5000
Pb1 0.0000 0.5000 0.5000


# 3
# Zr6C2N, optimized geometry, DFT PBE-GGA
# ΔE to the lowest computed polymorph (meV/atom): 12.5
# Density of states at the Fermi level (states/eV/atom): 0.7848
# Calculated density (g/cm³): 6.294
# M_tot (μB per cell): 0.0
data_Zr6C2N
_symmetry_space_group_name_H-M 'P -3 1 m'
_symmetry_Int_Tables_number 162
_symmetry_space_group_name_Hall '-P 3 2'
_cell_length_a 5.7474
_cell_length_b 5.7474
_cell_length_c 5.3981
_cell_angle_alpha 90.00
_cell_angle_beta 90.00
_cell_angle_gamma 120.00
loop_
_atom_site_label
_atom_site_fract_x
_atom_site_fract_y
_atom_site_fract_z
Zr1 0.0000 0.3316 0.2368
C1 0.3333 0.6667 0.0000
N1 0.0000 0.0000 0.0000


# 4
# Pu2ScSn, optimized geometry, DFT PBE-GGA
# ΔE to the lowest computed polymorph (meV/atom): 271.6
# Density of states at the Fermi level (states/eV/atom): 3.0896
# Calculated density (g/cm³): 10.412
# M_tot (μB per cell): 50.8
data_Pu2ScSn
_symmetry_space_group_name_H-M 'F m -3 m'
_symmetry_Int_Tables_number 225
_symmetry_space_group_name_Hall '-F 4 2 3'
_cell_length_a 7.4634
_cell_length_b 7.4634
_cell_length_c 7.4634
_cell_angle_alpha 90.00
_cell_angle_beta 90.00
_cell_angle_gamma 90.00
loop_
_atom_site_label
_atom_site_fract_x
_atom_site_fract_y
_atom_site_fract_z
Pu1 0.2500 0.2500 0.2500
Sc1 0.0000 0.0000 0.0000
Sn1 0.0000 0.0000 0.5000


Q: Look up the calculated density of the third one.
A: 6.294 g/cm³


Q: calculated density of number 2 (Cd2PtPb)?
A: 12.113 g/cm³